{"formula": "YNb2Cu", "functional": "PBE", "state": "optimized geometry", "polymorph_energy_mev_per_atom": 0, "total_energy_ev_per_atom": -7.20, "formation_enthalpy_0k_ev_per_atom": 0.4771, "magmom_total_mub_per_fu": 0.00, "lattice_angstrom": [[3.9171, 0.0000, 0.0000], [0.0000, 3.9171, 0.0000], [1.9585, 1.9585, 10.6178]], "species": ["Nb", "Nb", "Nb", "Nb", "Cu", "Cu", "Y", "Y"], "fractional_positions": [[0.1340, 0.1250, 0.2500], [0.8750, 0.3840, 0.7500], [0.3750, 0.8660, 0.7500], [0.6160, 0.6250, 0.2500], [0.2500, 0.7500, 0.5000], [0.5000, 0.5000, 0.0000], [0.0000, 0.0000, 0.0000], [0.7500, 0.2500, 0.5000]]}